Computed, not measured: a geometry-optimized Ba2ReAgHg structure at the PBE level of DFT.

Results
E_form ... 3.00 eV/f.u.
Final energy ... -3.29 eV/atom
Space-group type ... P4/mmm (123)
DOS at the Fermi energy ... 4.03 states/eV/f.u.

Cell: 5.922 5.922 5.258 Å, 90.00 90.00 90.00°
Sites, in units of the cell vectors:
Ba: 0.000 0.500 0.000
Ba: 0.500 0.000 0.000
Re: 0.000 0.000 0.000
Ag: 0.500 0.500 0.500
Hg: 0.000 0.000 0.500